Entry 1:
DFT (PBE) results for crystalline Ho3Mg12Ga5 at its relaxed geometry.

## Properties
ΔE_f: 805 kJ/mol of formula units

a = 14.5676 Å, b = 14.5676 Å, c = 14.5676 Å
α = 109.47°, β = 109.47°, γ = 109.47°
Element x y z (fractional)
Mg 0.8830 0.0631 0.5796
Mg 0.4204 0.9836 0.8035
Mg 0.1801 0.1170 0.6965
Mg 0.8035 0.3199 0.8830
Mg 0.3035 0.3830 0.8199
Mg 0.6170 0.6965 0.6801
Mg 0.5631 0.9836 0.6801
Mg 0.8830 0.8199 0.8035
Mg 0.0164 0.5796 0.6965
Mg 0.9836 0.4204 0.3035
Mg 0.9369 0.8199 0.5164
Mg 0.0796 0.6965 0.5164
Mg 0.1170 0.1801 0.1965
Mg 0.8199 0.8830 0.3035
Mg 0.9204 0.3035 0.4836
Mg 0.1170 0.9369 0.4204
Mg 0.4204 0.4369 0.1170
Mg 0.9204 0.6170 0.9369
Mg 0.6965 0.0796 0.0164
Mg 0.4369 0.4204 0.6170
Mg 0.4369 0.0164 0.3199
Mg 0.5631 0.5796 0.3830
Mg 0.5796 0.0164 0.1965
Mg 0.0164 0.4369 0.8199
Mg 0.6801 0.4836 0.5631
Mg 0.5164 0.3199 0.9369
Mg 0.3199 0.5164 0.4369
Mg 0.3830 0.3035 0.3199
Mg 0.6801 0.1965 0.6170
Mg 0.5164 0.1965 0.0796
Mg 0.8199 0.9369 0.0164
Mg 0.6170 0.9204 0.4369
Mg 0.3199 0.8035 0.3830
Mg 0.9836 0.5631 0.1801
Mg 0.3830 0.0796 0.5631
Mg 0.9369 0.1170 0.9204
Mg 0.4836 0.6801 0.0631
Mg 0.3035 0.9204 0.9836
Mg 0.0796 0.3830 0.0631
Mg 0.0631 0.8830 0.0796
Mg 0.6965 0.6170 0.1801
Mg 0.8035 0.4836 0.4204
Mg 0.4836 0.8035 0.9204
Mg 0.5796 0.5631 0.8830
Mg 0.1965 0.5164 0.5796
Mg 0.1965 0.6801 0.1170
Mg 0.0631 0.1801 0.4836
Mg 0.1801 0.0631 0.9836
Ga 0.3750 0.2500 0.1250
Ga 0.8750 0.2500 0.6250
Ga 0.6250 0.8750 0.2500
Ga 0.3750 0.1250 0.7500
Ga 0.2500 0.3750 0.6250
Ga 0.5000 0.0000 0.0000
Ga 0.0000 0.0000 0.5000
Ga 0.7500 0.1250 0.8750
Ga 0.5000 0.0000 0.5000
Ga 0.5000 0.5000 0.0000
Ga 0.0000 0.0000 0.0000
Ga 0.7500 0.6250 0.3750
Ga 0.5000 0.5000 0.5000
Ga 0.8750 0.6250 0.7500
Ga 0.2500 0.8750 0.1250
Ga 0.1250 0.7500 0.3750
Ga 0.1250 0.3750 0.2500
Ga 0.0000 0.5000 0.5000
Ga 0.6250 0.7500 0.8750
Ga 0.0000 0.5000 0.0000
Ho 0.6250 0.3750 0.7500
Ho 0.6250 0.2500 0.3750
Ho 0.3750 0.7500 0.6250
Ho 0.8750 0.7500 0.1250
Ho 0.8750 0.1250 0.2500
Ho 0.2500 0.6250 0.8750
Ho 0.2500 0.1250 0.3750
Ho 0.7500 0.8750 0.6250
Ho 0.3750 0.6250 0.2500
Ho 0.7500 0.3750 0.1250
Ho 0.1250 0.2500 0.8750
Ho 0.1250 0.8750 0.7500


Entry 2:
DFT (PBE) results for crystalline HoMg2Ga4 at its relaxed geometry.

## Properties
ΔE_f: -222 kJ/mol of formula units

a = 5.8937 Å, b = 5.8253 Å, c = 8.7375 Å
α = 109.47°, β = 96.88°, γ = 90.00°
Element x y z (fractional)
Ga 0.0261 0.2074 0.3185
Ga 0.7089 0.6426 0.8483
Ga 0.2089 0.2057 0.8483
Ga 0.7911 0.7943 0.1517
Ga 0.5261 0.1111 0.3185
Ga 0.4739 0.8889 0.6815
Ga 0.9739 0.7926 0.6815
Ga 0.2911 0.3574 0.1517
Mg 0.1545 0.7706 0.3894
Mg 0.8455 0.2294 0.6106
Mg 0.3455 0.3811 0.6106
Mg 0.6545 0.6189 0.3894
Ho 0.7500 0.2272 0.0000
Ho 0.2500 0.7728 0.0000


Entry 3:
DFT (PBE) results for crystalline Ho2MgGa at its relaxed geometry.

## Properties
ΔE_f: 59 kJ/mol of formula units

a = 3.3881 Å, b = 3.3881 Å, c = 11.4728 Å
α = 81.51°, β = 81.51°, γ = 60.00°
Element x y z (fractional)
Ho 0.0882 0.0882 0.7353
Ho 0.9118 0.9118 0.2647
Mg 0.5000 0.5000 0.5000
Ga 0.0000 0.0000 0.0000


Entry 4:
DFT (PBE) results for crystalline HoMg2Ga9 at its relaxed geometry.

## Properties
ΔE_f: -269 kJ/mol of formula units

a = 4.2263 Å, b = 4.2263 Å, c = 12.6008 Å
α = 90.00°, β = 90.00°, γ = 90.00°
Element x y z (fractional)
Ga 0.0000 0.5000 0.8252
Ga 0.0000 0.5000 0.5000
Ga 0.5000 0.0000 0.1748
Ga 0.0000 0.5000 0.1748
Ga 0.5000 0.0000 0.5000
Ga 0.5000 0.0000 0.8252
Ga 0.5000 0.5000 0.6677
Ga 0.5000 0.5000 0.0000
Ga 0.5000 0.5000 0.3323
Ho 0.0000 0.0000 0.0000
Mg 0.0000 0.0000 0.3354
Mg 0.0000 0.0000 0.6646


Entry 5:
DFT (PBE) results for crystalline HoMgGa4 at its relaxed geometry.

## Properties
ΔE_f: -163 kJ/mol of formula units

a = 5.4792 Å, b = 5.4792 Å, c = 5.4792 Å
α = 60.00°, β = 60.00°, γ = 60.00°
Element x y z (fractional)
Ga 0.1256 0.6248 0.6248
Ga 0.6248 0.1256 0.6248
Ga 0.6248 0.6248 0.1256
Ga 0.6248 0.6248 0.6248
Ho 0.2500 0.2500 0.2500
Mg 0.0000 0.0000 0.0000


Entry 6:
DFT (PBE) results for crystalline Ho4MgGa at its relaxed geometry.

## Properties
ΔE_f: 28 kJ/mol of formula units

a = 4.8335 Å, b = 6.3357 Å, c = 12.2307 Å
α = 90.00°, β = 101.40°, γ = 90.00°
Element x y z (fractional)
Ho 0.7212 0.5325 0.4424
Ho 0.2788 0.0325 0.5576
Ho 0.6866 0.0415 0.3732
Ho 0.3134 0.5415 0.6268
Ho 0.1325 0.7702 0.2650
Ho 0.4139 0.8900 0.8278
Ho 0.8675 0.2702 0.7350
Ho 0.5861 0.3900 0.1722
Ga 0.8354 0.8000 0.6707
Ga 0.1646 0.3000 0.3293
Mg 0.4540 0.3992 0.9081
Mg 0.5460 0.8992 0.0919


Entry 7:
DFT (PBE) results for crystalline Ho4MgGa2 at its relaxed geometry.

## Properties
ΔE_f: -154 kJ/mol of formula units

a = 7.7584 Å, b = 6.4940 Å, c = 8.0147 Å
α = 90.00°, β = 111.97°, γ = 90.00°
Element x y z (fractional)
Ho 0.6012 0.0060 0.2535
Ho 0.7931 0.7500 0.6669
Ho 0.2069 0.2500 0.3331
Ho 0.9835 0.2500 0.6229
Ho 0.3988 0.5060 0.7465
Ho 0.0165 0.7500 0.3771
Ho 0.6012 0.4940 0.2535
Ho 0.3988 0.9940 0.7465
Ga 0.6078 0.2500 0.5828
Ga 0.2588 0.2500 0.9928
Ga 0.3922 0.7500 0.4172
Ga 0.7412 0.7500 0.0072
Mg 0.1843 0.7500 0.0339
Mg 0.8157 0.2500 0.9661


Entry 8:
DFT (PBE) results for crystalline HoMgGa2 at its relaxed geometry.

## Properties
ΔE_f: -142 kJ/mol of formula units

a = 3.4764 Å, b = 3.4764 Å, c = 6.8456 Å
α = 90.00°, β = 90.00°, γ = 90.00°
Element x y z (fractional)
Ga 0.0000 0.0000 0.2242
Ga 0.0000 0.0000 0.7758
Mg 0.5000 0.5000 0.0000
Ho 0.5000 0.5000 0.5000